AcTb7Y12 PBE-GGA relaxed; E = -109.268 eV/cell; N(E_F) = 2.087 states/eV per atom; ΔE to the lowest computed polymorph = 0 meV/atom; total moment = 0.000 μB/atom; formation energy = 0.2411 eV/atom
1.0
8.523 1.204 1.807
-1.214 8.522 1.807
-1.214 -1.615 8.560
Ac Tb Y
1 7 12
Direct
0.000 0.000 0.000
0.845 0.609 0.940
0.391 0.060 0.155
0.060 0.155 0.391
0.500 0.500 0.500
0.940 0.845 0.609
0.609 0.940 0.845
0.155 0.391 0.060
0.855 0.277 0.727
0.723 0.273 0.145
0.621 0.138 0.498
0.862 0.502 0.379
0.273 0.145 0.723
0.502 0.379 0.862
0.498 0.621 0.138
0.727 0.855 0.277
0.138 0.498 0.621
0.379 0.862 0.502
0.277 0.727 0.855
0.145 0.723 0.273